# Sr2CoAgF8 | Alexandria | PBE with a Hubbard U | relaxed
# DFT total energy: -4.899 eV per atom
data_Sr2CoAgF8
_chemical_formula_sum 'Sr2 Co1 Ag1 F8'
_cell_length_a 4.522
_cell_length_b 5.262
_cell_length_c 7.530
_cell_angle_alpha 91.71
_cell_angle_beta 98.28
_cell_angle_gamma 90.30
_symmetry_space_group_name_H-M 'P 1'
_symmetry_Int_Tables_number 1
loop_
_symmetry_equiv_pos_as_xyz
'x,y,z'
loop_
_atom_site_label
_atom_site_type_symbol
_atom_site_fract_x
_atom_site_fract_y
_atom_site_fract_z
_atom_site_occupancy
Sr1 Sr 0.133 0.014 0.270 1
Sr2 Sr 0.867 0.986 0.730 1
Co1 Co 0.500 0.500 0.500 1
Ag1 Ag 0.500 0.500 0.000 1
F1 F 0.215 0.539 0.298 1
F2 F 0.226 0.156 0.979 1
F3 F 0.294 0.223 0.575 1
F4 F 0.323 0.739 0.641 1
F5 F 0.677 0.261 0.359 1
F6 F 0.706 0.777 0.425 1
F7 F 0.774 0.844 0.021 1
F8 F 0.785 0.461 0.702 1